Crystalline HoVAs at its relaxed geometry, computed with PBE.

Values from the calculation:
DFT formation energy (eV/atom): -0.524
E_tot (eV per formula unit): -19.92

Cell lengths 3.854, 3.854, 10.361 Å; angles 79.28, 79.28, 60.00 degrees
Positions (direct):
As 0.226 0.226 0.321
As 0.774 0.774 0.679
Ho 0.381 0.381 0.857
Ho 0.619 0.619 0.143
V 0.857 0.857 0.428
V 0.143 0.143 0.572